No. 1
Compound: NiMoAu3
Source: the Alexandria database
Functional: GGA-PBE
Structure: optimized geometry

The structure belongs to space group Pm-3m (No. 221); the cell edges are 5.0202, 5.0202 and 5.0202 Å and the angles 90.00°, 90.00° and 90.00°. The inequivalent atoms are Ni at (0.0000, 0.0000, 0.0000), Mo at (0.5000, 0.5000, 0.5000) and Au at (0.0000, 0.5000, 0.5000).

The value obtained for the formation energy is 36.0 kcal/mol of atoms. The value obtained for the volume is 127 Å³/cell. As for the theoretical density: 9.8 g cm⁻³. Its total magnetic moment is 0.6 μB/cell. The calculation puts the relative energy among the computed polymorphs at 499 meV/atom.



No. 2
Compound: Nd6AuSe3S2
Source: the Alexandria database
Functional: GGA-PBE
Structure: optimized geometry

The structure belongs to space group C2/m (No. 12); the cell edges are 7.2554, 12.5605 and 7.2894 Å and the angles 90.00°, 109.37° and 90.00°. The inequivalent atoms are Nd at (0.2371, 0.0000, 0.2408), Nd at (0.2481, 0.1721, 0.7572), Au at (0.0000, 0.5000, 0.0000), Se at (0.0000, 0.0000, 0.5000), Se at (0.0000, 0.3357, 0.5000) and S at (0.0000, 0.1661, 0.0000).

The value obtained for the volume is 627 Å³/cell. As for the theoretical density: 7.2 g cm⁻³. Its total magnetic moment is 0.0 μB/cell. The calculation puts the formation energy from raw total energies at -1735 meV per atom.



No. 3
Compound: CsZr2Sc
Source: the Alexandria database
Functional: GGA-PBE
Structure: optimized geometry

The structure belongs to space group Fm-3m (No. 225); the cell edges are 7.6371, 7.6371 and 7.6371 Å and the angles 90.00°, 90.00° and 90.00°. The inequivalent atoms are Cs at (0.0000, 0.0000, 0.0000), Zr at (0.2500, 0.2500, 0.2500) and Sc at (0.0000, 0.0000, 0.5000).

The value obtained for the formation energy is 27.3 kcal/mol of atoms. The value obtained for the volume is 445 Å³/cell. As for the theoretical density: 5.4 g cm⁻³. Its total magnetic moment is 14.7 μB/cell. The calculation puts the relative energy among the computed polymorphs at 12 meV/atom.



No. 4
Compound: CeDy4Er7
Source: the Alexandria database
Functional: GGA-PBE
Structure: optimized geometry

The structure belongs to space group P-1 (No. 2); the cell edges are 6.4818, 6.7536 and 8.9533 Å and the angles 84.80°, 76.58° and 81.26°. The inequivalent atoms are Ce at (0.0000, 0.0000, 0.0000), Dy at (0.1641, 0.6135, 0.3136), Dy at (0.3582, 0.1945, 0.7136), Er at (0.0000, 0.5000, 0.0000), Er at (0.1901, 0.1048, 0.3860), Er at (0.3180, 0.7027, 0.6431) and Er at (0.4863, 0.2489, 0.0491).

The value obtained for the formation energy is 2.4 kcal/mol of atoms. The value obtained for the volume is 376 Å³/cell. As for the theoretical density: 8.7 g cm⁻³. Its total magnetic moment is 1.5 μB/cell.



No. 5
Compound: BiPdF3
Source: the Alexandria database
Functional: GGA-PBE
Structure: optimized geometry

The structure belongs to space group Pm-3m (No. 221); the cell edges are 4.5757, 4.5757 and 4.5757 Å and the angles 90.00°, 90.00° and 90.00°. The inequivalent atoms are Bi at (0.0000, 0.0000, 0.0000), Pd at (0.5000, 0.5000, 0.5000) and F at (0.0000, 0.0000, 0.5000).

The value obtained for the volume is 96 Å³/cell. As for the theoretical density: 6.5 g cm⁻³. Its total magnetic moment is 0.0 μB/cell. The calculation puts the relative energy among the computed polymorphs at 0 meV/atom. The calculation puts the formation energy from raw total energies at -1321 meV per atom.



No. 6
Compound: Tl3Ga2Au4
Source: the Alexandria database
Functional: GGA-PBE
Structure: optimized geometry

The structure belongs to space group C2/m (No. 12); the cell edges are 12.9788, 3.9318 and 8.9239 Å and the angles 90.00°, 112.35° and 90.00°. The inequivalent atoms are Tl at (0.0000, 0.0000, 0.0000), Tl at (0.1035, 0.5000, 0.7197), Ga at (0.1899, 0.5000, 0.3554), Au at (0.0941, 0.0000, 0.4439) and Au at (0.2010, 0.5000, 0.0771).

The value obtained for the formation energy is -2.3 kcal/mol of atoms. The value obtained for the volume is 421 Å³/cell. As for the theoretical density: 12.1 g cm⁻³. Its total magnetic moment is 0.0 μB/cell. The calculation puts the relative energy among the computed polymorphs at 0 meV/atom.



No. 7
Compound: Sr2ErHg6
Source: the Alexandria database
Functional: GGA-PBE
Structure: optimized geometry

The structure belongs to space group P-3m1 (No. 164); the cell edges are 6.8945, 6.8945 and 6.3596 Å and the angles 90.00°, 90.00° and 120.00°. The inequivalent atoms are Sr at (0.3333, 0.6667, 0.3424), Er at (0.0000, 0.0000, 0.5000) and Hg at (0.1819, 0.3638, 0.8239).

The value obtained for the formation energy is -8.9 kcal/mol of atoms. The value obtained for the volume is 262 Å³/cell. As for the theoretical density: 9.8 g cm⁻³. Its total magnetic moment is 0.0 μB/cell.



No. 8
Compound: TaNiPd
Source: the Alexandria database
Functional: GGA-PBE
Structure: optimized geometry

The structure belongs to space group P3m1 (No. 156); the cell edges are 4.3269, 4.3269 and 2.7272 Å and the angles 90.00°, 90.00° and 120.00°. The inequivalent atoms are Ta at (0.0000, 0.0000, 0.0000), Ni at (0.3333, 0.6667, 0.2826) and Pd at (0.6667, 0.3333, 0.6089).

The value obtained for the formation energy is -4.5 kcal/mol of atoms. The value obtained for the volume is 44 Å³/cell. As for the theoretical density: 13.0 g cm⁻³. Its total magnetic moment is 0.0 μB/cell. The calculation puts the relative energy among the computed polymorphs at 173 meV/atom.